[1]
Compound: K8AuO2
Source: the Alexandria database
Functional: PBE
Structure: relaxed

Properties
E_form (uncorrected) (meV/atom): -534
Calculated volume (A^3/atom): 39.284
SG: C2/m (12)
Crystal system: monoclinic
Theoretical density (kg/m3): 2082

Cell: 4.908 11.572 11.572 Å, 137.55 85.30 85.30°
Positions (direct):
K: 0.882 0.268 0.268
K: 0.869 0.635 0.994
K: 0.131 0.365 0.006
K: 0.118 0.732 0.732
K: 0.500 0.681 0.319
O: 0.000 0.268 0.732
Au: 0.500 0.000 0.000
K: 0.131 0.006 0.365
O: 0.000 0.732 0.268
K: 0.869 0.994 0.635
K: 0.500 0.319 0.681

***

[2]
Compound: K12Au3O5
Source: the Alexandria database
Functional: PBE
Structure: relaxed

Properties
E_form (uncorrected) (meV/atom): -760
Calculated volume (A^3/atom): 32.413
SG: Ia-3d (230)
Crystal system: cubic
Theoretical density (kg/m3): 2920

Cell: 14.990 14.990 14.990 Å, 109.47 109.47 109.47°
Each line ends with the local moment (μB).
Positions (direct):
K: 0.511 0.192 0.110  0.00
K: 0.011 0.401 0.819  0.00
Au: 0.875 0.750 0.125  0.00
K: 0.308 0.418 0.819  0.00
K: 0.401 0.390 0.582  0.00
Au: 0.375 0.625 0.250  0.00
K: 0.610 0.599 0.918  0.00
K: 0.692 0.110 0.011  0.00
K: 0.582 0.692 0.681  0.00
K: 0.901 0.082 0.890  0.00
O: 0.125 0.750 0.375  0.21
Au: 0.750 0.875 0.625  0.00
Au: 0.125 0.250 0.875  0.00
Au: 0.250 0.125 0.375  0.00
K: 0.418 0.110 0.599  0.00
K: 0.308 0.890 0.989  0.00
Au: 0.250 0.625 0.875  0.00
O: 0.125 0.375 0.250  0.21
K: 0.808 0.319 0.918  0.00
K: 0.181 0.082 0.692  0.00
K: 0.082 0.181 0.192  0.00
O: 0.875 0.250 0.625  0.21
K: 0.890 0.582 0.901  0.00
K: 0.099 0.181 0.489  0.00
K: 0.681 0.192 0.582  0.00
K: 0.610 0.011 0.192  0.00
O: 0.375 0.125 0.750  0.21
O: 0.500 0.500 0.000  0.14
K: 0.692 0.582 0.181  0.00
K: 0.110 0.418 0.099  0.00
K: 0.192 0.511 0.610  0.00
K: 0.418 0.308 0.319  0.00
Au: 0.375 0.750 0.625  0.00
O: 0.250 0.375 0.625  0.21
O: 0.500 0.500 0.500  0.14
K: 0.819 0.901 0.011  0.00
O: 0.000 0.500 0.500  0.14
K: 0.901 0.819 0.511  0.00
O: 0.625 0.750 0.875  0.21
K: 0.390 0.401 0.082  0.00
K: 0.681 0.489 0.599  0.00
O: 0.250 0.875 0.125  0.21
K: 0.489 0.681 0.099  0.00
O: 0.500 0.000 0.000  0.14
K: 0.808 0.489 0.390  0.00
O: 0.875 0.625 0.750  0.21
O: 0.750 0.625 0.375  0.21
K: 0.401 0.011 0.319  0.00
K: 0.110 0.692 0.511  0.00
Au: 0.625 0.250 0.375  0.00
K: 0.599 0.610 0.418  0.00
Au: 0.125 0.875 0.750  0.00
O: 0.750 0.125 0.875  0.21
K: 0.319 0.511 0.401  0.00
K: 0.819 0.918 0.308  0.00
K: 0.599 0.989 0.681  0.00
K: 0.890 0.308 0.489  0.00
K: 0.192 0.681 0.082  0.00
K: 0.511 0.319 0.901  0.00
O: 0.000 0.000 0.500  0.14
K: 0.181 0.099 0.989  0.00
O: 0.000 0.500 0.000  0.14
O: 0.500 0.000 0.500  0.14
O: 0.375 0.250 0.125  0.21
K: 0.989 0.390 0.308  0.00
K: 0.918 0.819 0.808  0.00
K: 0.489 0.808 0.890  0.00
Au: 0.625 0.375 0.750  0.00
K: 0.319 0.808 0.418  0.00
K: 0.390 0.989 0.808  0.00
O: 0.625 0.875 0.250  0.21
K: 0.918 0.099 0.610  0.00
K: 0.099 0.918 0.110  0.00
Au: 0.750 0.375 0.125  0.00
O: 0.000 0.000 0.000  0.14
K: 0.582 0.890 0.401  0.00
K: 0.082 0.901 0.390  0.00
K: 0.011 0.610 0.692  0.00
K: 0.989 0.599 0.181  0.00
Au: 0.875 0.125 0.250  0.00

***

[3]
Compound: KAuO2
Source: the Alexandria database
Functional: PBE
Structure: relaxed

Properties
E_form (uncorrected) (meV/atom): -329
Calculated volume (A^3/atom): 19.545
SG: I-42d (122)
Crystal system: tetragonal
Theoretical density (kg/m3): 5694

Cell: 5.100 5.100 7.010 Å, 68.67 68.67 90.00°
Positions (direct):
K: 0.250 0.750 0.500
Au: 0.000 0.000 0.000
O: 0.011 0.625 0.250
Au: 0.750 0.250 0.500
K: 0.500 0.500 0.000
O: 0.875 0.989 0.750
O: 0.739 0.125 0.250
O: 0.375 0.261 0.750

***

[4]
Compound: K7Au3O2
Source: the Alexandria database
Functional: PBE
Structure: relaxed

Properties
E_form (uncorrected) (meV/atom): -682
Calculated volume (A^3/atom): 32.273
SG: I4/mmm (139)
Crystal system: tetragonal
Theoretical density (kg/m3): 3844

Cell: 5.301 5.301 14.282 Å, 100.70 100.70 90.00°
Positions (direct):
O: 0.098 0.098 0.195
K: 0.096 0.596 0.192
Au: 0.684 0.684 0.368
K: 0.404 0.904 0.808
K: 0.809 0.809 0.617
K: 0.596 0.096 0.192
O: 0.902 0.902 0.805
K: 0.000 0.000 0.000
Au: 0.500 0.500 0.000
K: 0.904 0.404 0.808
K: 0.191 0.191 0.383
Au: 0.316 0.316 0.632

***

[5]
Compound: K7Au3O2
Source: the Alexandria database
Functional: PBE
Structure: relaxed

Properties
E_form (uncorrected) (meV/atom): -680
Calculated volume (A^3/atom): 30.111
SG: Cmmm (65)
Crystal system: orthorhombic
Theoretical density (kg/m3): 4120

Cell: 5.295 5.234 13.304 Å, 90.00 101.48 90.00°
Positions (direct):
K: 0.601 0.000 0.203
K: 0.894 0.500 0.788
K: 0.000 0.000 0.000
K: 0.800 0.000 0.601
Au: 0.287 0.500 0.573
O: 0.898 0.000 0.795
O: 0.102 0.000 0.205
K: 0.106 0.500 0.212
K: 0.200 0.000 0.399
K: 0.399 0.000 0.797
Au: 0.713 0.500 0.427
Au: 0.500 0.500 0.000

***

[6]
Compound: K7Au2O
Source: the Alexandria database
Functional: PBE
Structure: relaxed

Properties
E_form (uncorrected) (meV/atom): -396
Calculated volume (A^3/atom): 40.886
SG: C2/c (15)
Crystal system: monoclinic
Theoretical density (kg/m3): 2776

Cell: 10.289 9.556 11.784 Å, 59.21 64.11 57.43°
Positions (direct):
K: 0.861 0.456 0.763
Au: 0.260 0.583 0.897
K: 0.149 0.727 0.501
K: 0.855 0.772 0.903
K: 0.623 0.227 0.001
K: 0.145 0.228 0.097
K: 0.081 0.044 0.737
K: 0.470 0.272 0.403
O: 0.781 0.250 0.750
K: 0.377 0.773 0.999
O: 0.219 0.750 0.250
K: 0.139 0.544 0.237
K: 0.851 0.273 0.499
K: 0.919 0.956 0.263
K: 0.530 0.728 0.597
K: 0.521 0.250 0.750
Au: 0.740 0.417 0.103
Au: 0.740 0.917 0.603
Au: 0.260 0.083 0.397
K: 0.479 0.750 0.250

***

[7]
Compound: K8AuO2
Source: the Alexandria database
Functional: PBE
Structure: relaxed

Properties
E_form (uncorrected) (meV/atom): -488
Calculated volume (A^3/atom): 34.745
SG: P4/mmm (123)
Crystal system: tetragonal
Theoretical density (kg/m3): 2354

Cell: 7.053 7.053 7.684 Å, 90.00 90.00 90.00°
Positions (direct):
K: 0.750 0.250 0.209
K: 0.250 0.750 0.791
K: 0.750 0.750 0.791
K: 0.250 0.250 0.791
O: 0.500 0.000 0.000
O: 0.000 0.500 0.000
Au: 0.500 0.500 0.500
K: 0.250 0.750 0.209
K: 0.250 0.250 0.209
K: 0.750 0.250 0.791
K: 0.750 0.750 0.209

***

[8]
Compound: K14Au6O3
Source: the Alexandria database
Functional: PBE
Structure: relaxed

Properties
E_form (uncorrected) (meV/atom): -534
Calculated volume (A^3/atom): 37.476
SG: P3 (143)
Crystal system: trigonal
Theoretical density (kg/m3): 3424

Cell: 6.823 12.078 12.078 Å, 120.00 90.00 90.00°
Positions (direct):
O: 0.817 0.000 0.000
K: 0.464 0.196 0.743
K: 0.951 0.788 0.857
K: 0.951 0.143 0.931
K: 0.282 0.878 0.407
Au: 0.244 0.908 0.701
K: 0.282 0.528 0.122
Au: 0.244 0.793 0.092
O: 0.492 0.667 0.333
Au: 0.778 0.534 0.565
K: 0.464 0.257 0.453
K: 0.702 0.455 0.256
K: 0.282 0.593 0.472
K: 0.951 0.069 0.212
O: 0.333 0.333 0.667
Au: 0.778 0.031 0.466
Au: 0.778 0.435 0.969
K: 0.702 0.802 0.545
K: 0.702 0.744 0.198
K: 0.976 0.333 0.667
K: 0.464 0.547 0.804
K: 0.460 0.000 0.000
Au: 0.244 0.299 0.207

***

[9]
Compound: K11AuO5
Source: the Alexandria database
Functional: PBE
Structure: relaxed

Properties
E_form (uncorrected) (meV/atom): -872
Calculated volume (A^3/atom): 27.150
SG: C2/m (12)
Crystal system: monoclinic
Theoretical density (kg/m3): 2544

Cell: 7.441 8.206 8.206 Å, 101.61 102.42 102.42°
Each line ends with the local moment (μB).
Positions (direct):
K: 0.663 0.688 0.136  0.00
K: 0.337 0.312 0.864  0.00
K: 0.663 0.136 0.688  0.00
O: 0.301 0.000 0.634  0.07
O: 0.699 0.366 0.000  0.07
K: 0.051 0.439 0.172  0.00
K: 0.949 0.561 0.828  0.00
K: 0.675 0.322 0.322  0.00
K: 0.337 0.864 0.312  0.00
O: 0.301 0.634 0.000  0.07
K: 0.325 0.678 0.678  0.00
Au: 0.000 0.000 0.000  0.00
O: 0.699 0.000 0.366  0.07
K: 0.949 0.828 0.561  0.00
O: 0.000 0.500 0.500  0.01
K: 0.051 0.172 0.439  0.00
K: 0.500 0.000 0.000  0.00

***

[10]
Compound: KPAu2O
Source: the Alexandria database
Functional: PBE
Structure: relaxed

Properties
E_form (uncorrected) (meV/atom): 380
Calculated volume (A^3/atom): 20.336
SG: P4/mmm (123)
Crystal system: tetragonal
Theoretical density (kg/m3): 7839

Cell: 4.711 4.582 4.711 Å, 90.00 90.00 90.00°
Each line ends with the local moment (μB).
Positions (direct):
K: 0.500 0.500 0.500  0.01
Au: 0.500 0.000 0.000  0.06
P: 0.000 0.500 0.000  0.42
O: 0.000 0.000 0.000  0.16
Au: 0.000 0.000 0.500  0.09

***

[11]
Compound: KP2Au2O7
Source: the Alexandria database
Functional: PBE
Structure: relaxed

Properties
E_form (uncorrected) (meV/atom): -1398
Calculated volume (A^3/atom): 18.104
SG: R32 (155)
Crystal system: trigonal
Theoretical density (kg/m3): 4640

Cell: 5.697 5.697 8.401 Å, 70.18 70.18 60.00°
Each line ends with the local moment (μB).
Positions (direct):
Au: 0.253 0.253 0.242  0.28
P: 0.069 0.069 0.794  0.00
Au: 0.747 0.747 0.758  0.28
O: 0.826 0.341 0.734  0.08
O: 0.099 0.826 0.734  0.08
K: 0.500 0.500 0.500  0.00
O: 0.341 0.099 0.734  0.08
P: 0.931 0.931 0.206  0.00
O: 0.659 0.174 0.266  0.08
O: 0.000 0.000 0.000  0.00
O: 0.901 0.659 0.266  0.08
O: 0.174 0.901 0.266  0.08

***

[12]
Compound: KP2AuO8
Source: the Alexandria database
Functional: PBE
Structure: relaxed

Properties
E_form (uncorrected) (meV/atom): -1457
Calculated volume (A^3/atom): 14.494
SG: P-3 (147)
Crystal system: trigonal
Theoretical density (kg/m3): 4067

Cell: 4.817 4.817 8.656 Å, 90.00 90.00 120.00°
Positions (direct):
O: 0.348 0.316 0.353
P: 0.667 0.333 0.295
Au: 0.000 0.000 0.500
O: 0.032 0.348 0.647
K: 0.000 0.000 0.000
O: 0.652 0.684 0.647
O: 0.316 0.968 0.647
O: 0.684 0.032 0.353
O: 0.333 0.667 0.880
O: 0.667 0.333 0.120
P: 0.333 0.667 0.705
O: 0.968 0.652 0.353